DFT (PBE) results for a relaxed Tb4PrTm5 crystal.

The structure in POSCAR format:
```
Tb4PrTm5
1.0
-5.098 5.098 3.122
5.098 -5.098 3.122
5.098 5.098 -3.122
Tb Pr Tm
4 1 5
direct
0.051 0.649 0.700
0.351 0.051 0.402
0.649 0.949 0.598
0.949 0.351 0.300
0.231 0.231 0.000
0.272 0.361 0.621
0.361 0.739 0.089
0.650 0.272 0.911
0.739 0.650 0.379
0.772 0.772 0.000
```

Summary:
E above lowest polymorph	241	meV/atom
formation energy	3.0	eV per formula unit

DFT (PBE) results for a relaxed KBaRh2 crystal.

The structure in POSCAR format:
```
KBaRh2
1.0
3.501 0.000 0.000
-1.751 3.032 0.000
0.000 0.000 28.980
K Ba Rh
3 3 6
direct
0.000 0.000 0.000
0.333 0.667 0.667
0.667 0.333 0.333
0.000 0.000 0.500
0.333 0.667 0.167
0.667 0.333 0.833
0.000 0.000 0.243
0.000 0.000 0.757
0.333 0.667 0.424
0.333 0.667 0.910
0.667 0.333 0.090
0.667 0.333 0.576
```

Summary:
E above lowest polymorph	569	meV/atom
formation energy	2.7	eV per formula unit

DFT (PBE) results for a relaxed Pa2CrN crystal.

The structure in POSCAR format:
```
Pa2CrN
1.0
3.206 0.000 0.000
-1.603 2.776 0.000
0.000 0.000 23.576
Pa Cr N
6 3 3
direct
0.000 0.000 0.100
0.000 0.000 0.900
0.333 0.667 0.567
0.333 0.667 0.766
0.667 0.333 0.234
0.667 0.333 0.433
0.000 0.000 0.000
0.333 0.667 0.667
0.667 0.333 0.333
0.000 0.000 0.500
0.333 0.667 0.167
0.667 0.333 0.833
```

Summary:
uncorrected formation energy	-0.182	eV/atom

DFT (PBE) results for a relaxed MgBeSi crystal.

The structure in POSCAR format:
```
MgBeSi
1.0
6.299 0.000 0.000
0.000 3.890 0.000
-0.200 0.000 10.779
Mg Be Si
6 6 6
direct
0.002 0.250 0.200
0.351 0.250 0.421
0.489 0.250 0.121
0.511 0.750 0.879
0.649 0.750 0.579
0.998 0.750 0.800
0.018 0.750 0.405
0.153 0.750 0.043
0.334 0.250 0.712
0.666 0.750 0.288
0.847 0.250 0.957
0.982 0.250 0.595
0.217 0.750 0.594
0.219 0.250 0.924
0.288 0.750 0.251
0.712 0.250 0.749
0.781 0.750 0.076
0.783 0.250 0.406
```

Summary:
uncorrected formation energy	0.033	eV/atom

DFT (PBE) results for a relaxed TlH2Pt2 crystal.

The structure in POSCAR format:
```
TlH2Pt2
1.0
3.531 0.000 0.000
0.000 3.531 0.000
0.000 0.000 9.976
Tl H Pt
2 4 4
direct
0.000 0.000 0.000
0.500 0.500 0.500
0.000 0.500 0.250
0.000 0.500 0.750
0.500 0.000 0.250
0.500 0.000 0.750
0.000 0.000 0.338
0.000 0.000 0.662
0.500 0.500 0.162
0.500 0.500 0.838
```

Summary:
E above lowest polymorph	190	meV/atom

DFT (PBE) results for a relaxed Nd4Sm2Tl crystal.

The structure in POSCAR format:
```
Nd4Sm2Tl
1.0
16.920 0.000 0.000
0.000 3.592 0.000
-3.991 0.000 7.830
Nd Sm Tl
8 4 2
direct
0.080 0.000 0.206
0.136 0.500 0.902
0.364 0.000 0.098
0.420 0.500 0.794
0.580 0.500 0.206
0.636 0.000 0.902
0.864 0.500 0.098
0.920 0.000 0.794
0.217 0.000 0.641
0.283 0.500 0.359
0.717 0.500 0.641
0.783 0.000 0.359
0.000 0.000 0.500
0.500 0.500 0.500
```

Summary:
E above lowest polymorph	0	meV/atom
formation energy	-0.1	eV per formula unit

DFT (PBE) results for a relaxed BaY2W crystal.

The structure in POSCAR format:
```
BaY2W
1.0
4.235 0.000 0.000
0.000 5.866 0.000
0.000 0.000 9.915
Ba Y W
2 4 2
direct
0.000 0.000 0.000
0.500 0.500 0.500
0.000 0.500 0.203
0.000 0.500 0.797
0.500 0.000 0.297
0.500 0.000 0.703
0.000 0.000 0.500
0.500 0.500 0.000
```

Summary:
E above lowest polymorph	315	meV/atom
formation energy	3.1	eV per formula unit

DFT (PBE) results for a relaxed KSrAs2 crystal.

The structure in POSCAR format:
```
KSrAs2
1.0
3.851 0.000 0.000
-1.926 3.335 0.000
0.000 0.000 29.051
K Sr As
3 3 6
direct
0.000 0.000 0.000
0.333 0.667 0.667
0.667 0.333 0.333
0.000 0.000 0.500
0.333 0.667 0.167
0.667 0.333 0.833
0.000 0.000 0.246
0.000 0.000 0.754
0.333 0.667 0.421
0.333 0.667 0.912
0.667 0.333 0.088
0.667 0.333 0.579
```

Summary:
E above lowest polymorph	439	meV/atom
formation energy	-1.1	eV per formula unit

DFT (PBE) results for a relaxed PrMg2Au2 crystal.

The structure in POSCAR format:
```
PrMg2Au2
1.0
4.223 0.000 0.000
0.000 4.223 0.000
0.000 0.000 6.471
Pr Mg Au
1 2 2
direct
0.000 0.000 0.000
0.000 0.500 0.500
0.500 0.000 0.500
0.500 0.500 0.216
0.500 0.500 0.784
```

Summary:
E above lowest polymorph	42	meV/atom
formation energy	-3.0	eV per formula unit

DFT (PBE) results for a relaxed Ca4AlZn crystal.

The structure in POSCAR format:
```
Ca4AlZn
1.0
9.264 0.000 0.000
0.000 5.338 0.000
-3.052 0.000 8.417
Ca Al Zn
8 2 2
direct
0.124 0.000 0.372
0.129 0.500 0.885
0.371 0.000 0.115
0.376 0.500 0.628
0.624 0.500 0.372
0.629 0.000 0.885
0.871 0.500 0.115
0.876 0.000 0.628
0.000 0.000 0.000
0.500 0.500 0.000
0.000 0.500 0.500
0.500 0.000 0.500
```

Summary:
E above lowest polymorph	149	meV/atom
formation energy	-0.1	eV per formula unit

DFT (PBE) results for a relaxed SmGeI crystal.

The structure in POSCAR format:
```
SmGeI
1.0
6.774 0.000 0.000
0.000 6.801 0.000
-1.655 0.000 7.777
Sm Ge I
4 4 4
direct
0.190 0.000 0.220
0.310 0.500 0.780
0.690 0.500 0.220
0.810 0.000 0.780
0.154 0.500 0.115
0.346 0.000 0.885
0.654 0.000 0.115
0.846 0.500 0.885
0.000 0.250 0.500
0.000 0.750 0.500
0.500 0.250 0.500
0.500 0.750 0.500
```

Summary:
uncorrected formation energy	-0.477	eV/atom

DFT (PBE) results for a relaxed LaNbGe2 crystal.

The structure in POSCAR format:
```
LaNbGe2
1.0
6.994 0.000 0.000
0.000 6.994 0.000
0.000 0.000 6.994
La Nb Ge
4 4 8
direct
0.000 0.000 0.000
0.000 0.500 0.500
0.500 0.000 0.500
0.500 0.500 0.000
0.000 0.000 0.500
0.000 0.500 0.000
0.500 0.000 0.000
0.500 0.500 0.500
0.250 0.250 0.250
0.250 0.250 0.750
0.250 0.750 0.250
0.250 0.750 0.750
0.750 0.250 0.250
0.750 0.250 0.750
0.750 0.750 0.250
0.750 0.750 0.750
```

Summary:
E above lowest polymorph	280	meV/atom
formation energy	-0.8	eV per formula unit

DFT (PBE) results for a relaxed Sr2InO crystal.

The structure in POSCAR format:
```
Sr2InO
1.0
7.670 0.000 0.000
0.000 7.670 0.000
0.000 0.000 7.670
Sr In O
8 4 4
direct
0.250 0.250 0.250
0.250 0.250 0.750
0.250 0.750 0.250
0.250 0.750 0.750
0.750 0.250 0.250
0.750 0.250 0.750
0.750 0.750 0.250
0.750 0.750 0.750
0.000 0.000 0.000
0.000 0.500 0.500
0.500 0.000 0.500
0.500 0.500 0.000
0.000 0.000 0.500
0.000 0.500 0.000
0.500 0.000 0.000
0.500 0.500 0.500
```

Summary:
E above lowest polymorph	939	meV/atom
uncorrected formation energy	-0.439	eV/atom

DFT (PBE) results for a relaxed Sn5Pb3Se12 crystal.

The structure in POSCAR format:
```
Sn5Pb3Se12
1.0
-8.499 8.499 8.499
8.499 -8.499 8.499
8.499 8.499 -8.499
Sn Pb Se
20 12 48
direct
0.000 0.000 0.000
0.000 0.000 0.500
0.000 0.500 0.000
0.000 0.500 0.500
0.125 0.750 0.875
0.125 0.875 0.250
0.250 0.125 0.875
0.250 0.625 0.375
0.375 0.250 0.625
0.375 0.625 0.750
0.500 0.000 0.000
0.500 0.000 0.500
0.500 0.500 0.000
0.500 0.500 0.500
0.625 0.375 0.250
0.625 0.750 0.375
0.750 0.375 0.625
0.750 0.875 0.125
0.875 0.125 0.750
0.875 0.250 0.125
0.125 0.250 0.375
0.125 0.375 0.750
0.250 0.375 0.125
0.250 0.875 0.625
0.375 0.125 0.250
0.375 0.750 0.125
0.625 0.250 0.875
0.625 0.875 0.750
0.750 0.125 0.375
0.750 0.625 0.875
0.875 0.625 0.250
0.875 0.750 0.625
0.038 0.216 0.128
0.038 0.322 0.910
0.089 0.716 0.678
0.089 0.872 0.410
0.090 0.628 0.411
0.090 0.962 0.678
0.128 0.038 0.216
0.128 0.590 0.911
0.178 0.216 0.589
0.178 0.462 0.590
0.216 0.128 0.038
0.216 0.589 0.178
0.284 0.322 0.911
0.284 0.462 0.372
0.322 0.910 0.038
0.322 0.911 0.284
0.372 0.284 0.462
0.372 0.589 0.910
0.410 0.089 0.872
0.410 0.822 0.538
0.411 0.090 0.628
0.411 0.822 0.784
0.462 0.372 0.284
0.462 0.590 0.178
0.538 0.410 0.822
0.538 0.628 0.716
0.589 0.178 0.216
0.589 0.910 0.372
0.590 0.178 0.462
0.590 0.911 0.128
0.628 0.411 0.090
0.628 0.716 0.538
0.678 0.089 0.716
0.678 0.090 0.962
0.716 0.538 0.628
0.716 0.678 0.089
0.784 0.411 0.822
0.784 0.872 0.962
0.822 0.538 0.410
0.822 0.784 0.411
0.872 0.410 0.089
0.872 0.962 0.784
0.910 0.038 0.322
0.910 0.372 0.589
0.911 0.128 0.590
0.911 0.284 0.322
0.962 0.678 0.090
0.962 0.784 0.872
```

Summary:
uncorrected formation energy	-0.355	eV/atom

DFT (PBE) results for a relaxed EuHPd crystal.

The structure in POSCAR format:
```
EuHPd
1.0
4.095 0.000 0.000
0.000 4.095 0.000
0.000 0.000 7.229
Eu H Pd
2 2 2
direct
0.000 0.000 0.000
0.500 0.500 0.500
0.000 0.000 0.658
0.500 0.500 0.158
0.000 0.000 0.427
0.500 0.500 0.927
```

Summary:
E above lowest polymorph	288	meV/atom

DFT (PBE) results for a relaxed AcPaAgAu crystal.

The structure in POSCAR format:
```
AcPaAgAu
1.0
7.541 0.000 0.000
0.000 7.541 0.000
0.000 0.000 7.541
Ac Pa Ag Au
4 4 4 4
direct
0.000 0.000 0.000
0.000 0.500 0.500
0.500 0.000 0.500
0.500 0.500 0.000
0.000 0.000 0.500
0.000 0.500 0.000
0.500 0.000 0.000
0.500 0.500 0.500
0.250 0.250 0.750
0.250 0.750 0.250
0.750 0.250 0.250
0.750 0.750 0.750
0.250 0.250 0.250
0.250 0.750 0.750
0.750 0.250 0.750
0.750 0.750 0.250
```

Summary:
formation energy	-0.2	eV per formula unit

DFT (PBE) results for a relaxed PmAl2Cu3 crystal.

The structure in POSCAR format:
```
PmAl2Cu3
1.0
5.324 0.000 0.000
-2.662 4.611 0.000
0.000 0.000 4.037
Pm Al Cu
1 2 3
direct
0.000 0.000 0.000
0.333 0.667 0.000
0.667 0.333 0.000
0.000 0.500 0.500
0.500 0.000 0.500
0.500 0.500 0.500
```

Summary:
E above lowest polymorph	8	meV/atom
formation energy	-2.0	eV per formula unit

DFT (PBE) results for a relaxed ZrTaCu4 crystal.

The structure in POSCAR format:
```
ZrTaCu4
1.0
0.000 3.533 3.533
3.533 0.000 3.533
3.533 3.533 0.000
Zr Ta Cu
1 1 4
direct
0.000 0.000 0.000
0.250 0.250 0.250
0.126 0.625 0.625
0.625 0.126 0.625
0.625 0.625 0.126
0.625 0.625 0.625
```

Summary:
formation energy	0.3	eV per formula unit

DFT (PBE) results for a relaxed Nd4NiHg crystal.

The structure in POSCAR format:
```
Nd4NiHg
1.0
7.136 0.000 0.000
0.000 7.483 0.000
-0.745 0.000 7.113
Nd Ni Hg
8 2 2
direct
0.150 0.169 0.191
0.150 0.331 0.691
0.324 0.647 0.108
0.324 0.853 0.608
0.676 0.147 0.392
0.676 0.353 0.892
0.850 0.669 0.309
0.850 0.831 0.809
0.000 0.000 0.500
0.000 0.500 0.000
0.500 0.000 0.000
0.500 0.500 0.500
```

Summary:
E above lowest polymorph	156	meV/atom
formation energy	-0.8	eV per formula unit

DFT (PBE) results for a relaxed Nd3FeSb crystal.

The structure in POSCAR format:
```
Nd3FeSb
1.0
5.210 0.000 0.000
0.000 5.210 0.000
0.000 0.000 5.210
Nd Fe Sb
3 1 1
direct
0.000 0.000 0.500
0.000 0.500 0.000
0.500 0.000 0.000
0.000 0.000 0.000
0.500 0.500 0.500
```

Summary:
uncorrected formation energy	-0.259	eV/atom

DFT (PBE) results for a relaxed MgZnGeRu crystal.

The structure in POSCAR format:
```
MgZnGeRu
1.0
4.139 0.000 0.000
-2.070 3.585 0.000
0.000 0.000 14.025
Mg Zn Ge Ru
3 3 3 3
direct
0.000 0.000 0.000
0.333 0.667 0.667
0.667 0.333 0.333
0.000 0.000 0.414
0.333 0.667 0.081
0.667 0.333 0.748
0.000 0.000 0.820
0.333 0.667 0.487
0.667 0.333 0.154
0.000 0.000 0.202
0.333 0.667 0.868
0.667 0.333 0.535
```

Summary:
E above lowest polymorph	51	meV/atom
formation energy	0.0	eV per formula unit

DFT (PBE) results for a relaxed NaNdBiPb crystal.

The structure in POSCAR format:
```
NaNdBiPb
1.0
7.862 0.000 0.000
0.000 7.862 0.000
0.000 0.000 7.862
Na Nd Bi Pb
4 4 4 4
direct
0.000 0.000 0.000
0.000 0.500 0.500
0.500 0.000 0.500
0.500 0.500 0.000
0.000 0.000 0.500
0.000 0.500 0.000
0.500 0.000 0.000
0.500 0.500 0.500
0.250 0.250 0.250
0.250 0.750 0.750
0.750 0.250 0.750
0.750 0.750 0.250
0.250 0.250 0.750
0.250 0.750 0.250
0.750 0.250 0.250
0.750 0.750 0.750
```

Summary:
formation energy	-1.4	eV per formula unit

DFT (PBE) results for a relaxed Sm4Zn3Co crystal.

The structure in POSCAR format:
```
Sm4Zn3Co
1.0
3.571 0.000 0.000
0.000 3.571 0.000
0.000 0.000 14.536
Sm Zn Co
4 3 1
direct
0.000 0.000 0.113
0.000 0.000 0.372
0.000 0.000 0.628
0.000 0.000 0.887
0.500 0.500 0.245
0.500 0.500 0.500
0.500 0.500 0.755
0.500 0.500 0.000
```

Summary:
formation energy	-1.9	eV per formula unit